1.
VASP calculation (PBE-GGA) on a geometry-optimized CuHg2Pb2 structure.

```
CuHg2Pb2
1.0
-1.2576 1.5217 6.9015
2.6504 -6.3967 1.8933
4.9505 2.1761 0.4223
Hg Pb Cu
4 4 2
Direct
0.6620 0.8380 0.5000 Hg
0.3380 0.1620 0.5000 Hg
0.8380 0.3380 0.5000 Hg
0.1620 0.6620 0.5000 Hg
0.3339 0.8339 0.0000 Pb
0.1661 0.3339 0.0000 Pb
0.6661 0.1661 0.0000 Pb
0.8339 0.6661 0.0000 Pb
0.5000 0.5000 0.0000 Cu
0.0000 0.0000 0.0000 Cu
```

Properties
Its total magnetization is 0.00 μB/cell. The value obtained for the calculated formation energy is 0.200 eV/atom. The value obtained for the raw total energy is -2.22 eV per atom. The space group is No. 127. The calculation puts the energy above the most stable polymorph in this dataset at 0.0151 eV/atom.

***

2.
VASP calculation (PBE-GGA) on a geometry-optimized Cu2HgPb structure.

```
Cu2HgPb
1.0
-1.0472 1.9391 2.6006
-2.0587 -2.4921 1.0292
4.9223 -2.4829 3.8335
Cu Hg Pb
2 1 1
Direct
0.0000 0.0000 0.4574 Cu
0.0000 0.0000 0.0426 Cu
0.5000 0.5000 0.2500 Hg
0.5000 0.5000 0.7500 Pb
```

Properties
Its total magnetization is 0.00 μB/cell. The value obtained for the calculated formation energy is 0.259 eV/atom. The value obtained for the raw total energy is -2.79 eV per atom. The space group is No. 47.

***

3.
VASP calculation (PBE-GGA) on a geometry-optimized CuHg2Pb2 structure.

```
CuHg2Pb2
1.0
7.0598 0.0000 0.0000
0.0000 7.0598 0.0000
0.0000 0.0000 5.1999
Pb Hg Cu
4 4 2
Direct
0.1732 0.6732 0.5000 Pb
0.3268 0.1732 0.5000 Pb
0.6732 0.8268 0.5000 Pb
0.8268 0.3268 0.5000 Pb
0.6518 0.1518 0.0000 Hg
0.8482 0.6518 0.0000 Hg
0.3482 0.8482 0.0000 Hg
0.1518 0.3482 0.0000 Hg
0.5000 0.5000 0.0000 Cu
0.0000 0.0000 0.0000 Cu
```

Properties
Its total magnetization is 0.00 μB/cell. The value obtained for the calculated formation energy is 0.185 eV/atom. The value obtained for the raw total energy is -2.24 eV per atom. The space group is No. 127. The calculation puts the energy above the most stable polymorph in this dataset at 0.0000 eV/atom.

***

4.
VASP calculation (PBE-GGA) on a geometry-optimized CuHg4Pb structure.

```
CuHg4Pb
1.0
-2.8490 0.6477 5.2211
-5.3416 2.6889 0.1797
-4.9242 -3.2020 1.1382
Hg Cu Pb
4 1 1
Direct
0.8762 0.3746 0.3746 Hg
0.3746 0.3746 0.8762 Hg
0.3746 0.8762 0.3746 Hg
0.3746 0.3746 0.3746 Hg
0.0000 0.0000 0.0000 Cu
0.7500 0.7500 0.7500 Pb
```

Properties
Its total magnetization is 0.00 μB/cell. The value obtained for the calculated formation energy is 0.342 eV/atom. The value obtained for the raw total energy is -1.16 eV per atom. The space group is No. 216.

***

5.
VASP calculation (PBE-GGA) on a geometry-optimized Cu2HgPb structure.

```
Cu2HgPb
1.0
8.8163 0.1053 0.0624
8.1812 3.2875 0.0624
8.1812 1.6330 2.8539
Pb Hg Cu
1 1 2
Direct
0.7500 0.7500 0.7500 Pb
0.2500 0.2500 0.2500 Hg
0.9965 0.9965 0.9965 Cu
0.5035 0.5035 0.5035 Cu
```

Properties
Its total magnetization is 0.00 μB/cell. The value obtained for the calculated formation energy is 0.322 eV/atom. The value obtained for the raw total energy is -2.73 eV per atom. The space group is No. 166.

***

6.
VASP calculation (PBE-GGA) on a geometry-optimized Cu2HgPb structure.

```
Cu2HgPb
1.0
5.4422 0.0118 0.0000
2.3570 4.9054 0.0000
-3.8996 -2.4586 2.8925
Hg Cu Pb
1 2 1
Direct
0.5000 0.5000 0.0000 Hg
0.0000 0.0000 0.0000 Cu
0.2500 0.7500 0.5000 Cu
0.7500 0.2500 0.5000 Pb
```

Properties
Its total magnetization is 0.00 μB/cell. The value obtained for the calculated formation energy is 0.324 eV/atom. The value obtained for the raw total energy is -2.73 eV per atom. The space group is No. 119.

***

7.
VASP calculation (PBE-GGA) on a geometry-optimized CuHg2Pb structure.

```
CuHg2Pb
1.0
4.3387 0.0000 0.0000
0.0000 4.4561 0.0000
0.0000 0.0000 4.8333
Hg Pb Cu
2 1 1
Direct
0.5000 0.5000 0.0000 Hg
0.0000 0.0000 0.0000 Hg
0.5000 0.0000 0.5000 Pb
0.0000 0.5000 0.5000 Cu
```

Properties
Its total magnetization is 0.00 μB/cell. The value obtained for the calculated formation energy is 0.252 eV/atom. The value obtained for the raw total energy is -1.85 eV per atom. The space group is No. 47.

***

8.
VASP calculation (PBE-GGA) on a geometry-optimized Cu2HgPb structure.

```
Cu2HgPb
1.0
9.2331 0.0669 0.0395
8.6442 3.2455 0.0395
8.6442 1.6016 2.8231
Cu Pb Hg
2 1 1
Direct
0.2608 0.2608 0.2608 Cu
0.9870 0.9870 0.9870 Cu
0.7360 0.7360 0.7360 Pb
0.5162 0.5162 0.5162 Hg
```

Properties
Its total magnetization is 0.00 μB/cell. The value obtained for the calculated formation energy is 0.275 eV/atom. The value obtained for the raw total energy is -2.78 eV per atom. The space group is No. 160.

***

9.
VASP calculation (PBE-GGA) on a geometry-optimized CuHg2Pb structure.

```
CuHg2Pb
1.0
-5.0234 3.2219 4.0392
-3.8797 -1.9082 5.7651
6.1281 1.1303 -3.6192
Cu Pb Hg
1 1 2
Direct
0.2455 0.7455 0.5000 Cu
0.4345 0.4345 0.0000 Pb
0.7470 0.2470 0.5000 Hg
0.0730 0.0730 0.0000 Hg
```

Properties
Its total magnetization is 0.00 μB/cell. The value obtained for the calculated formation energy is 0.131 eV/atom. The value obtained for the raw total energy is -1.97 eV per atom. The space group is No. 44.

***

10.
VASP calculation (PBE-GGA) on a geometry-optimized Cu2HgPb structure.

```
Cu2HgPb
1.0
7.4822 0.0560 0.1295
-2.9054 3.6390 0.0404
1.6713 1.2332 2.8502
Cu Pb Hg
2 1 1
Direct
0.0000 0.0000 0.0000 Cu
0.5000 0.0000 0.5000 Cu
0.5000 0.5000 0.0000 Pb
0.0000 0.5000 0.5000 Hg
```

Properties
Its total magnetization is 0.00 μB/cell. The value obtained for the calculated formation energy is 0.291 eV/atom. The value obtained for the raw total energy is -2.76 eV per atom. The space group is No. 12.

***

11.
VASP calculation (PBE-GGA) on a geometry-optimized CuHg3Pb structure.

```
CuHg3Pb
1.0
-2.7923 -4.2560 0.1577
2.4209 -1.4310 4.2458
-3.5039 2.4029 2.8078
Hg Cu Pb
3 1 1
Direct
0.5000 0.0000 0.0000 Hg
0.0000 0.5000 0.0000 Hg
0.0000 0.0000 0.5000 Hg
0.0000 0.0000 0.0000 Cu
0.5000 0.5000 0.5000 Pb
```

Properties
Its total magnetization is 0.00 μB/cell. The value obtained for the calculated formation energy is 0.201 eV/atom. The value obtained for the raw total energy is -1.54 eV per atom. The space group is No. 221. The calculation puts the energy above the most stable polymorph in this dataset at 0.0000 eV/atom.

***

12.
VASP calculation (PBE-GGA) on a geometry-optimized CuHg2Pb structure.

```
CuHg2Pb
1.0
-0.7675 -5.4585 1.2641
4.3217 -2.1111 2.9745
-3.2243 4.6110 0.5697
Cu Hg Pb
1 2 1
Direct
0.7500 0.2500 0.5000 Cu
0.2500 0.7500 0.5000 Hg
0.0000 0.0000 0.0000 Hg
0.5000 0.5000 0.0000 Pb
```

Properties
Its total magnetization is 0.00 μB/cell. The value obtained for the calculated formation energy is 0.257 eV/atom. The value obtained for the raw total energy is -1.85 eV per atom. The space group is No. 119.